42
Lattice="8.1876 0.2411 0.3743 -2.1650 7.8999 0.3743 -2.1650 -2.9266 7.3473" Properties=species:S:1:pos:R:3 comment="Li2CuF4 GGA-PBEsol optimized geometry" polymorph_energy_mev_per_atom=32 e_form_raw_mev_per_atom=-2294 sg="R-3, No. 148" e_tot_ev_per_atom=-4.576 pbc="T T T"
Cu -0.3260 0.0355 3.6143
Cu 0.1293 3.4153 1.2206
Cu 4.1835 5.1789 4.4816
Cu 3.2280 0.6468 1.5272
Cu 3.7282 1.7990 6.8754
Cu 0.6295 4.5675 6.5687
F 1.8596 -1.8709 5.5141
F 3.3142 4.7410 2.8386
F -2.3331 4.5113 3.4012
F 0.2936 4.5144 2.7736
F 4.9965 3.4735 0.5773
F 5.0233 7.2172 2.8952
F 5.4316 -0.2241 7.4934
F 5.6610 0.5130 0.3275
F -1.5741 5.4384 0.6025
F 1.5205 3.0201 7.2497
F -1.1658 -2.0028 5.2007
F 0.5434 0.4733 5.2574
F -0.3734 3.3516 5.4905
F -0.8148 2.1947 2.3478
F 6.1906 0.7031 4.6947
F 1.4144 -0.4193 2.9692
F 3.5639 0.6999 5.3223
F 4.2310 1.8628 2.6054
F 2.4431 5.6337 5.1267
F 4.6724 3.0197 5.7481
F -1.1390 1.7409 7.5187
F 1.9979 7.0852 2.5818
F 2.3371 2.1942 0.8463
F -1.8035 4.7014 7.7684
Li -0.9099 3.4662 3.7680
Li 5.3928 -0.7063 5.7219
Li 2.1758 -0.2858 4.7142
Li 4.7674 1.7482 4.3280
Li 3.5807 3.3710 1.6896
Li 1.6817 5.5001 3.3817
Li 0.1744 -1.5522 6.3724
Li -2.2532 3.1622 6.8735
Li 0.2768 1.8434 6.4063
Li -1.5353 5.9207 2.3740
Li 6.1108 2.0522 1.2224
Li 3.6831 6.7665 1.7235